Sc2CrHg | PBE | relaxed

Lattice parameters (Å, degrees): 4.8194 3.5369 4.8182 90.00 90.00 90.00
Last column: nearest neighbours and their distance in Å.
Fractional positions:
Cr1 0.0000 0.6250 0.3758  8 Sc 2.99
Sc1 0.0000 0.1250 0.8754  4 Cr 2.99, 4 Hg 2.99
Sc2 0.5000 0.1250 0.3745  4 Hg 2.99, 4 Cr 2.99
Hg1 0.5000 0.6250 0.8743  8 Sc 2.99

Results
Energy of formation from the pure elements = -0.14 eV/f.u.
E = -22.72 eV/cell
Crystal system = orthorhombic